SrInNi2Pb at its PBEsol-relaxed geometry, computed with SCAN.

Lattice parameters (Å, degrees): 4.8358 4.8358 5.7912 90.00 90.00 90.00
Last column: nearest neighbours and their distance in Å.
Atoms (fractional coordinates):
Sr 0.0000 0.0000 0.0000  4 Ni 2.42
Ni 0.5000 0.0000 0.0000  2 Sr 2.42
Pb 0.5000 0.5000 0.5000  4 In 3.42, 8 Ni 3.77
In 0.0000 0.0000 0.5000  2 Sr 2.90
Ni 0.0000 0.5000 0.0000  2 Sr 2.42

Properties
D(E_F), states/eV per cell: 4.04
Space group: P4/mmm, No. 123
Total magnetization, μB per formula unit: 0.0
Energy of formation, eV per atom: 1.427
VASP energy, eV for the cell shown: -156.656